VASP calculation (PBE) on crystalline Y2HfSb at its relaxed geometry.

Properties
Space group ... F-43m, No. 216

Lattice parameters (Å, degrees): 5.222 5.222 5.222 60.00 60.00 60.00
Each line ends with the local moment (μB).
Fractional coordinates of all 4 atoms:
Sb1 0.500 0.500 0.500  -0.01
Hf1 0.250 0.250 0.250  0.25
Y1 0.750 0.750 0.750  0.07
Y2 0.000 0.000 0.000  0.33


VASP calculation (PBE) on crystalline Hf2ZnSb at its relaxed geometry.

Properties
Space group ... F-43m, No. 216

Lattice parameters (Å, degrees): 4.897 4.897 4.897 60.00 60.00 60.00
Each line ends with the local moment (μB).
Fractional coordinates of all 4 atoms:
Zn1 0.250 0.250 0.250  0.01
Hf1 0.000 0.000 0.000  0.55
Hf2 0.750 0.750 0.750  0.44
Sb1 0.500 0.500 0.500  -0.03


no.,volume (Å³/f.u.),electronic total energy (eV/atom)
1,101,-6.8097
2,83,-6.0414